[1]
VASP calculation (PBE) on a relaxed DyC2BrO6 crystal.

a = 6.512 Å, b = 6.512 Å, c = 7.469 Å
α = 112.01°, β = 112.01°, γ = 89.44°
Fractional coordinates of all 20 atoms:
Dy 0.075 0.925 0.750
Dy 0.925 0.075 0.250
C 0.110 0.400 0.778
C 0.400 0.110 0.278
C 0.600 0.890 0.722
C 0.890 0.600 0.222
Br 0.403 0.597 0.250
Br 0.597 0.403 0.750
O 0.026 0.212 0.613
O 0.106 0.590 0.773
O 0.194 0.359 0.952
O 0.212 0.026 0.113
O 0.359 0.194 0.452
O 0.410 0.894 0.727
O 0.590 0.106 0.273
O 0.641 0.806 0.548
O 0.788 0.974 0.887
O 0.806 0.641 0.048
O 0.894 0.410 0.227
O 0.974 0.788 0.387

density = 4.47 Mg/m³
E_tot = -7.1734 eV per atom
ΔE_f (raw) = -1666 kJ/mol of formula units
V = 13.45 A^3/atom

***

[2]
VASP calculation (PBE) on a relaxed PmDyCBr crystal.

a = 7.590 Å, b = 7.590 Å, c = 7.590 Å
α = 28.39°, β = 28.39°, γ = 28.39°
Fractional coordinates of all 4 atoms:
Pm 0.000 0.000 0.000
Dy 0.787 0.787 0.787
C 0.399 0.399 0.399
Br 0.223 0.223 0.223

density = 7.59 Mg/m³
E_tot = -5.9911 eV per atom
ΔE_f (raw) = -358 kJ/mol of formula units
V = 21.84 A^3/atom

***

[3]
VASP calculation (PBE) on a relaxed Pr2DyC2Br2 crystal.

a = 8.498 Å, b = 8.498 Å, c = 8.498 Å
α = 148.83°, β = 148.83°, γ = 44.67°
Fractional coordinates of all 7 atoms:
Pr 0.101 0.101 0.000
Pr 0.899 0.899 0.000
Dy 0.500 0.500 0.000
C 0.000 0.500 0.500
C 0.500 0.000 0.500
Br 0.310 0.310 0.000
Br 0.690 0.690 0.000

density = 6.36 Mg/m³
E_tot = -5.7833 eV per atom
ΔE_f (raw) = -437 kJ/mol of formula units
V = 23.42 A^3/atom

***

[4]
VASP calculation (PBE) on a relaxed Dy6C2SBr3 crystal.

a = 6.565 Å, b = 6.565 Å, c = 7.386 Å
α = 98.52°, β = 98.52°, γ = 120.01°
Fractional coordinates of all 12 atoms:
Dy 0.084 0.440 0.818
Dy 0.205 0.205 0.181
Dy 0.440 0.084 0.818
Dy 0.560 0.916 0.182
Dy 0.795 0.795 0.819
Dy 0.916 0.560 0.182
C 0.167 0.833 0.000
C 0.833 0.167 0.000
S 0.500 0.500 0.000
Br 0.000 0.000 0.500
Br 0.335 0.665 0.500
Br 0.665 0.335 0.500

density = 8.02 Mg/m³
E_tot = -5.7564 eV per atom
ΔE_f (raw) = -1338 kJ/mol of formula units
V = 21.94 A^3/atom

***

[5]
VASP calculation (PBE) on a relaxed Dy6C3S2Br crystal.

a = 8.633 Å, b = 8.633 Å, c = 7.804 Å
α = 106.71°, β = 106.71°, γ = 24.86°
Fractional coordinates of all 12 atoms:
Dy 0.011 0.011 0.214
Dy 0.319 0.319 0.437
Dy 0.340 0.340 0.897
Dy 0.660 0.660 0.103
Dy 0.681 0.681 0.563
Dy 0.989 0.989 0.786
C 0.167 0.167 0.332
C 0.500 0.500 0.000
C 0.833 0.833 0.668
S 0.164 0.164 0.828
S 0.836 0.836 0.172
Br 0.500 0.500 0.500

density = 8.21 Mg/m³
E_tot = -6.6140 eV per atom
ΔE_f (raw) = -1366 kJ/mol of formula units
V = 19.48 A^3/atom

***

[6]
VASP calculation (PBE) on a relaxed DyScCBr crystal.

a = 7.185 Å, b = 7.185 Å, c = 7.185 Å
α = 28.77°, β = 28.77°, γ = 28.77°
Fractional coordinates of all 4 atoms:
Dy 0.000 0.000 0.000
Sc 0.784 0.784 0.784
C 0.400 0.400 0.400
Br 0.222 0.222 0.222

density = 6.54 Mg/m³
E_tot = -6.4141 eV per atom
ΔE_f (raw) = -369 kJ/mol of formula units
V = 19.00 A^3/atom

***

[7]
VASP calculation (PBE) on a relaxed Dy6C2SeBr3 crystal.

a = 6.660 Å, b = 6.660 Å, c = 7.397 Å
α = 98.64°, β = 98.64°, γ = 120.01°
Fractional coordinates of all 12 atoms:
Dy 0.075 0.439 0.817
Dy 0.197 0.197 0.183
Dy 0.439 0.075 0.817
Dy 0.561 0.925 0.183
Dy 0.803 0.803 0.817
Dy 0.925 0.561 0.183
C 0.167 0.833 0.000
C 0.833 0.167 0.000
Se 0.500 0.500 0.000
Br 0.000 0.000 0.500
Br 0.336 0.664 0.500
Br 0.664 0.336 0.500

density = 8.07 Mg/m³
E_tot = -5.6332 eV per atom
ΔE_f (raw) = -1258 kJ/mol of formula units
V = 22.58 A^3/atom

***

[8]
VASP calculation (PBE) on a relaxed Dy4CSe2Br crystal.

a = 6.854 Å, b = 3.881 Å, c = 7.132 Å
α = 90.00°, β = 108.27°, γ = 90.00°
Fractional coordinates of all 8 atoms:
Dy 0.210 0.000 0.201
Dy 0.231 0.500 0.793
Dy 0.769 0.500 0.207
Dy 0.790 0.000 0.799
C 0.000 0.500 0.000
Se 0.500 0.000 0.000
Se 0.500 0.500 0.500
Br 0.000 0.000 0.500

density = 8.29 Mg/m³
E_tot = -5.8015 eV per atom
ΔE_f (raw) = -978 kJ/mol of formula units
V = 22.52 A^3/atom

***

[9]
VASP calculation (PBE) on a relaxed Er7CBr12 crystal.

a = 8.899 Å, b = 8.899 Å, c = 8.899 Å
α = 107.79°, β = 107.79°, γ = 107.79°
Fractional coordinates of all 20 atoms:
Er 0.000 0.000 0.000
Er 0.200 0.398 0.468
Er 0.398 0.468 0.200
Er 0.468 0.200 0.398
Er 0.532 0.800 0.602
Er 0.602 0.532 0.800
Er 0.800 0.602 0.532
C 0.500 0.500 0.500
Br 0.032 0.346 0.113
Br 0.113 0.032 0.346
Br 0.188 0.726 0.578
Br 0.274 0.422 0.812
Br 0.346 0.113 0.032
Br 0.422 0.812 0.274
Br 0.578 0.188 0.726
Br 0.654 0.887 0.968
Br 0.726 0.578 0.188
Br 0.812 0.274 0.422
Br 0.887 0.968 0.654
Br 0.968 0.654 0.887

density = 6.20 Mg/m³
E_tot = -4.6191 eV per atom
ΔE_f (raw) = -3005 kJ/mol of formula units
V = 28.69 A^3/atom

***

[10]
VASP calculation (PBE) on a relaxed Er2CBr3 crystal.

a = 9.080 Å, b = 9.080 Å, c = 12.413 Å
α = 122.15°, β = 122.15°, γ = 24.51°
Fractional coordinates of all 12 atoms:
Er 0.072 0.072 0.221
Er 0.373 0.373 0.991
Er 0.627 0.627 0.009
Er 0.928 0.928 0.779
C 0.038 0.038 0.990
C 0.962 0.962 0.010
Br 0.164 0.164 0.866
Br 0.292 0.292 0.723
Br 0.455 0.455 0.640
Br 0.545 0.545 0.360
Br 0.708 0.708 0.277
Br 0.836 0.836 0.134

density = 5.47 Mg/m³
E_tot = -5.1749 eV per atom
ΔE_f (raw) = -741 kJ/mol of formula units
V = 29.68 A^3/atom

***

[11]
VASP calculation (PBE) on a relaxed Er4C2Br crystal.

a = 13.296 Å, b = 13.296 Å, c = 13.296 Å
α = 15.60°, β = 15.60°, γ = 15.60°
Fractional coordinates of all 7 atoms:
Er 0.124 0.124 0.124
Er 0.275 0.275 0.275
Er 0.725 0.725 0.725
Er 0.876 0.876 0.876
C 0.422 0.422 0.422
C 0.578 0.578 0.578
Br 0.000 0.000 0.000

density = 8.67 Mg/m³
E_tot = -6.1590 eV per atom
ΔE_f (raw) = -457 kJ/mol of formula units
V = 21.16 A^3/atom

***

[12]
VASP calculation (PBE) on a relaxed HoErCBr crystal.

a = 7.378 Å, b = 7.378 Å, c = 7.378 Å
α = 28.66°, β = 28.66°, γ = 28.66°
Fractional coordinates of all 4 atoms:
Ho 0.000 0.000 0.000
Er 0.786 0.786 0.786
C 0.395 0.395 0.395
Br 0.225 0.225 0.225

density = 8.62 Mg/m³
E_tot = -5.9584 eV per atom
ΔE_f (raw) = -366 kJ/mol of formula units
V = 20.42 A^3/atom

***

Which of these has the highest density?
Er4C2Br